Record 1
! TbYI3 GGA-PBE relaxed; values from VASP
&SYSTEM
  ibrav = 0, nat = 10, ntyp = 3
/
ATOMIC_SPECIES
Tb 158.93 Tb.upf
Y 88.91 Y.upf
I 126.90 I.upf
ATOMIC_POSITIONS angstrom
Tb -0.3876 0.0000 5.0658
Tb 16.5830 0.0000 5.7080
Y 7.6016 0.0000 2.8142
Y 8.5938 0.0000 7.9596
I -1.1109 0.0000 10.1862
I 4.7621 0.0000 3.9541
I 5.5417 0.0000 7.9561
I 10.6537 0.0000 2.8177
I 11.4333 0.0000 6.8197
I 17.3063 0.0000 0.5876
CELL_PARAMETERS angstrom
10.1302 -2.0450 0.0000
10.1302 2.0450 0.0000
-4.0649 0.0000 10.7738
! theoretical density = 4.68 g/cm³
! ΔE to the lowest computed polymorph = 0.0000 eV/atom
! calculated total energy = -0.31389 Ry/atom



Record 2
! PmZnIn2 GGA-PBE relaxed; values from VASP
&SYSTEM
  ibrav = 0, nat = 4, ntyp = 3
/
ATOMIC_SPECIES
Pm 145.00 Pm.upf
Zn 65.41 Zn.upf
In 114.82 In.upf
ATOMIC_POSITIONS angstrom
Pm 0.0000 0.0000 0.0000
Zn 0.0000 0.0000 8.2803
In 0.0000 0.0000 3.6958
In 0.0000 0.0000 12.8649
CELL_PARAMETERS angstrom
2.2891 1.3216 5.5202
-2.2891 1.3216 5.5202
0.0000 -2.6432 5.5202
! theoretical density = 7.29 g/cm³
! ΔE to the lowest computed polymorph = 0.1068 eV/atom
! calculated total energy = -0.23174 Ry/atom
! formation energy from the elements = -278 meV per atom



Record 3
! Sm3ErHg2 GGA-PBE relaxed; values from VASP
&SYSTEM
  ibrav = 0, nat = 12, ntyp = 3
/
ATOMIC_SPECIES
Sm 150.36 Sm.upf
Er 167.26 Er.upf
Hg 200.59 Hg.upf
ATOMIC_POSITIONS angstrom
Sm 0.0000 0.4931 0.0000
Sm 0.0000 3.1096 2.3647
Sm 0.0000 6.3259 5.8842
Sm 0.0000 8.9424 3.5196
Sm 2.6126 1.6699 4.8516
Sm 2.6126 7.7656 1.3320
Er 2.6126 4.2245 0.1975
Er 2.6126 5.2111 3.7171
Hg 0.0000 3.3037 5.5141
Hg 0.0000 6.1318 1.9945
Hg 2.6126 1.4367 1.7230
Hg 2.6126 7.9988 5.2426
CELL_PARAMETERS angstrom
5.2253 0.0000 0.0000
0.0000 9.4355 0.0000
0.0000 0.0000 7.0392
! theoretical density = 9.76 g/cm³
! ΔE to the lowest computed polymorph = 0.0000 eV/atom
! calculated total energy = -0.26160 Ry/atom
! formation energy from the elements = -339 meV per atom



Record 4
! HIrPdPt2 GGA-PBE relaxed; values from VASP
&SYSTEM
  ibrav = 0, nat = 5, ntyp = 4
/
ATOMIC_SPECIES
H 1.01 H.upf
Ir 192.22 Ir.upf
Pd 106.42 Pd.upf
Pt 195.08 Pt.upf
ATOMIC_POSITIONS angstrom
H 0.0000 0.0000 0.0000
Ir 0.0000 0.0000 1.9681
Pd 2.0178 2.0178 1.9681
Pt 0.0000 2.0178 0.0000
Pt 2.0178 0.0000 0.0000
CELL_PARAMETERS angstrom
4.0356 0.0000 0.0000
0.0000 4.0356 0.0000
0.0000 0.0000 3.9361
! theoretical density = 17.87 g/cm³
! ΔE to the lowest computed polymorph = 0.0000 eV/atom
! calculated total energy = -0.42035 Ry/atom



Record 5
! La3InNi8 GGA-PBE relaxed; values from VASP
&SYSTEM
  ibrav = 0, nat = 12, ntyp = 3
/
ATOMIC_SPECIES
La 138.91 La.upf
In 114.82 In.upf
Ni 58.69 Ni.upf
ATOMIC_POSITIONS angstrom
La 0.0000 0.0000 0.0000
La 0.0000 0.0000 3.2093
La 0.0000 0.0000 15.7170
In 0.0000 0.0000 12.6007
Ni 0.0000 -1.4857 5.7434
Ni -1.2866 0.7428 5.7434
Ni -1.2733 -0.7352 10.0556
Ni 0.0000 0.0000 7.9017
Ni 1.2866 0.7428 5.7434
Ni 1.2733 -0.7352 10.0556
Ni 0.0000 1.4703 10.0556
Ni 0.0000 0.0000 20.5984
CELL_PARAMETERS angstrom
2.5684 1.4829 8.4555
-2.5684 1.4829 8.4555
0.0000 -2.9658 8.4555
! theoretical density = 8.60 g/cm³
! calculated total energy = -0.41389 Ry/atom
! formation energy from the elements = -317 meV per atom



Record 6
! Tb3Tl6Cd2 GGA-PBE relaxed; values from VASP
&SYSTEM
  ibrav = 0, nat = 11, ntyp = 3
/
ATOMIC_SPECIES
Tb 158.93 Tb.upf
Tl 204.38 Tl.upf
Cd 112.41 Cd.upf
ATOMIC_POSITIONS angstrom
Tb 0.0000 0.0000 0.0000
Tb 0.0000 0.0000 5.0139
Tb 0.0000 0.0000 26.1096
Tl 2.2543 0.0000 2.2888
Tl 0.0000 0.0000 8.2110
Tl 2.2543 0.0000 13.2730
Tl 0.0000 2.2543 2.2888
Tl 0.0000 0.0000 22.9125
Tl 0.0000 2.2543 13.2730
Cd 0.0000 0.0000 11.1237
Cd 0.0000 0.0000 19.9999
CELL_PARAMETERS angstrom
-2.2543 2.2543 15.5618
2.2543 -2.2543 15.5618
2.2543 2.2543 -15.5618
! theoretical density = 10.12 g/cm³
! calculated total energy = -0.20828 Ry/atom
! formation energy from the elements = -114 meV per atom



What did the first record say?
! TbYI3 GGA-PBE relaxed; values from VASP
&SYSTEM
  ibrav = 0, nat = 10, ntyp = 3
/
ATOMIC_SPECIES
Tb 158.93 Tb.upf
Y 88.91 Y.upf
I 126.90 I.upf
ATOMIC_POSITIONS angstrom
Tb -0.3876 0.0000 5.0658
Tb 16.5830 0.0000 5.7080
Y 7.6016 0.0000 2.8142
Y 8.5938 0.0000 7.9596
I -1.1109 0.0000 10.1862
I 4.7621 0.0000 3.9541
I 5.5417 0.0000 7.9561
I 10.6537 0.0000 2.8177
I 11.4333 0.0000 6.8197
I 17.3063 0.0000 0.5876
CELL_PARAMETERS angstrom
10.1302 -2.0450 0.0000
10.1302 2.0450 0.0000
-4.0649 0.0000 10.7738
! theoretical density = 4.68 g/cm³
! ΔE to the lowest computed polymorph = 0.0000 eV/atom
! calculated total energy = -0.31389 Ry/atom



- Look up the theoretical density of the third one.
  9.76 g/cm³



- What is the formula in the fifth record?
  La3InNi8